# 1
The following is a DFT calculation (PBE with a Hubbard U) of crystalline Li3Pm3VO8 at its relaxed geometry.

Geometry as POSCAR:
```
Li3Pm3VO8
1.0
-4.0787 4.9676 2.2715
2.7016 -4.4708 4.3990
3.4799 4.2581 -3.0639
Li Pm V O
3 3 1 8
Direct
0.0000 0.0000 0.0000 Li
0.0000 0.5000 0.0000 Li
0.5000 0.5000 0.0000 Li
0.5000 0.0000 0.5000 Pm
0.5000 0.5000 0.5000 Pm
0.0000 0.5000 0.5000 Pm
0.0000 0.0000 0.5000 V
0.2538 0.5076 0.2590 O
0.7462 0.4924 0.7410 O
0.7799 0.5598 0.2751 O
0.2201 0.4402 0.7249 O
0.7836 0.9959 0.2794 O
0.2164 0.0041 0.7206 O
0.2122 0.9959 0.2794 O
0.7878 0.0041 0.7206 O
```

- Density of states at the Fermi level: 0.00 states/eV/cell
- Space-group type: C2/m (12)
- Total moment: 0.067 μB/atom

***

# 2
The following is a DFT calculation (PBE with a Hubbard U) of crystalline Li2Pm2VO6 at its relaxed geometry.

Geometry as POSCAR:
```
Li2Pm2VO6
1.0
5.5971 0.0000 0.0000
2.7986 4.8472 0.0000
2.7986 1.6157 4.8510
Li Pm V O
2 2 1 6
Direct
0.4272 0.4272 0.7183 Li
0.5728 0.5728 0.2817 Li
0.7861 0.7861 0.6416 Pm
0.2139 0.2139 0.3584 Pm
0.0000 0.0000 0.0000 V
0.7606 0.7606 0.2607 O
0.2180 0.7606 0.2607 O
0.7606 0.2180 0.2607 O
0.2394 0.7820 0.7393 O
0.7820 0.2394 0.7393 O
0.2394 0.2394 0.7393 O
```

- Density of states at the Fermi level: 4.84 states/eV/cell
- Space-group type: R-3m (166)
- Total moment: 0.091 μB/atom

***

# 3
The following is a DFT calculation (PBE with a Hubbard U) of crystalline LiPm2VO5 at its relaxed geometry.

Geometry as POSCAR:
```
LiPm2VO5
1.0
-4.0791 -3.6512 -1.4642
2.4540 -4.4994 4.3832
-3.9867 2.5210 4.8198
Li Pm V O
2 4 2 10
Direct
0.0000 0.5000 0.5000 Li
0.0000 0.0000 0.0000 Li
0.5000 0.6774 0.1774 Pm
0.5000 0.1774 0.3226 Pm
0.5000 0.8226 0.6774 Pm
0.5000 0.3226 0.8226 Pm
0.0000 0.0000 0.5000 V
0.0000 0.5000 0.0000 V
0.5000 0.5000 0.5000 O
0.5000 0.0000 0.0000 O
0.2418 0.1332 0.6332 O
0.2418 0.8668 0.3668 O
0.2418 0.3668 0.1332 O
0.2418 0.6332 0.8668 O
0.7582 0.1332 0.6332 O
0.7582 0.6332 0.8668 O
0.7582 0.8668 0.3668 O
0.7582 0.3668 0.1332 O
```

- Space-group type: P4/mbm (127)
- Total moment: 0.002 μB/atom

***

# 4
The following is a DFT calculation (PBE with a Hubbard U) of crystalline LiPm2VO6 at its relaxed geometry.

Geometry as POSCAR:
```
LiPm2VO6
1.0
-1.9483 4.2061 1.0530
-2.8291 -2.2490 3.7486
3.8151 0.9097 3.4251
Li Pm V O
1 2 1 6
Direct
0.5732 0.5000 0.5000 Li
0.0201 0.5000 0.0000 Pm
0.0201 0.0000 0.5000 Pm
0.5936 0.0000 0.0000 V
0.7144 0.2363 0.2363 O
0.7144 0.2363 0.7637 O
0.1637 0.5000 0.5000 O
0.2184 0.0000 0.0000 O
0.7144 0.7637 0.7637 O
0.7144 0.7637 0.2363 O
```

- Density of states at the Fermi level: 0.00 states/eV/cell
- Space-group type: P4mm (99)
- Total moment: 0.006 μB/atom

***

# 5
The following is a DFT calculation (PBE with a Hubbard U) of crystalline LiPmWO6 at its relaxed geometry.

Geometry as POSCAR:
```
LiPmWO6
1.0
5.0769 0.0000 0.0000
0.0000 5.0769 0.0000
0.0000 0.0000 9.7385
Li Pm W O
2 2 2 12
Direct
0.5000 0.5000 0.8399 Li
0.0000 0.0000 0.3399 Li
0.5000 0.5000 0.5096 Pm
0.0000 0.0000 0.0096 Pm
0.5000 0.5000 0.1503 W
0.0000 0.0000 0.6503 W
0.1823 0.8177 0.5122 O
0.8177 0.1823 0.5122 O
0.3177 0.3177 0.0122 O
0.6823 0.6823 0.0122 O
0.2348 0.7652 0.1831 O
0.7652 0.2348 0.1831 O
0.2652 0.2652 0.6831 O
0.7348 0.7348 0.6831 O
0.8080 0.1920 0.8048 O
0.1920 0.8080 0.8048 O
0.6920 0.6920 0.3048 O
0.3080 0.3080 0.3048 O
```

- Density of states at the Fermi level: 0.06 states/eV/cell
- Space-group type: P4_2nm (102)
- Total moment: 0.222 μB/atom

***

# 6
The following is a DFT calculation (PBE with a Hubbard U) of crystalline LiPm2WO6 at its relaxed geometry.

Geometry as POSCAR:
```
LiPm2WO6
1.0
-3.6663 -3.2749 2.9288
1.5532 -5.1260 1.8593
0.8945 -0.8529 5.4627
Li Pm W O
1 2 1 6
Direct
0.8162 0.8161 0.5515 Li
0.6025 0.5346 0.2950 Pm
0.0298 0.0977 0.8079 Pm
0.3162 0.3161 0.0515 W
0.6316 0.1381 0.2302 O
0.2106 0.9689 0.2729 O
0.0022 0.4897 0.3665 O
0.4217 0.6635 0.8303 O
0.6301 0.1426 0.7365 O
0.0007 0.4942 0.8728 O
```

- Density of states at the Fermi level: 0.00 states/eV/cell
- Space-group type: P-1 (2)
- Total moment: 0.100 μB/atom

***

# 7
The following is a DFT calculation (PBE with a Hubbard U) of crystalline LiPmW2O8 at its relaxed geometry.

Geometry as POSCAR:
```
LiPmW2O8
1.0
-5.4654 2.4256 -1.7915
3.4167 -2.4476 -4.6151
-1.2918 -4.6490 3.9600
Li Pm W O
1 1 2 8
Direct
0.0000 0.0000 0.0000 Li
0.2500 0.7500 0.5000 Pm
0.7500 0.2500 0.5000 W
0.5000 0.5000 0.0000 W
0.3887 0.0782 0.3104 O
0.3403 0.5359 0.1955 O
0.3403 0.1448 0.8045 O
0.7678 0.0782 0.6896 O
0.8552 0.6597 0.1955 O
0.9218 0.2322 0.3104 O
0.9218 0.6113 0.6896 O
0.4641 0.6597 0.8045 O
```

- Density of states at the Fermi level: 0.00 states/eV/cell
- Space-group type: I-4m2 (119)
- Total moment: 0.000 μB/atom

***

# 8
The following is a DFT calculation (PBE with a Hubbard U) of crystalline LiPmWO5 at its relaxed geometry.

Geometry as POSCAR:
```
LiPmWO5
1.0
-4.6810 3.1041 3.0922
-1.1846 -5.6044 -2.8804
4.8243 -2.3263 6.2162
Li Pm W O
2 2 2 10
Direct
0.2522 0.7478 0.2500 Li
0.7478 0.2522 0.7500 Li
0.0000 0.0000 0.5000 Pm
0.0000 0.0000 0.0000 Pm
0.7194 0.2806 0.2500 W
0.2806 0.7194 0.7500 W
0.0850 0.9150 0.2500 O
0.9150 0.0850 0.7500 O
0.9934 0.3623 0.1749 O
0.0066 0.6377 0.8251 O
0.6377 0.0066 0.3251 O
0.3623 0.9934 0.6749 O
0.7935 0.5454 0.4350 O
0.2065 0.4546 0.5650 O
0.4546 0.2065 0.0650 O
0.5454 0.7935 0.9350 O
```

- Density of states at the Fermi level: 0.00 states/eV/cell
- Space-group type: C2/c (15)
- Total moment: 0.000 μB/atom

***

no.,electronic total energy (eV/atom)
1,-7.027
2,-6.948
3,-7.353
4,-7.467
5,-6.838
6,-7.601
7,-7.359
8,-7.222